An optimized crystal structure of AlAgMo3. Source: the Alexandria database, functional PBE. Values from VASP.

Values from the calculation:
magnetization = 0.00 μB per formula unit
D(E_F) = 1.30 states/eV/atom
V = 18.88 Å³ per atom
energy = -6.233 eV/atom
E above lowest polymorph = 0.000 eV per atom
calculated formation energy = 1585 meV per atom

Cell and atoms, written as Quantum ESPRESSO input:
```
&SYSTEM
  ibrav = 0, nat = 5, ntyp = 3
/
ATOMIC_SPECIES
Mo 95.94 Mo.upf
Al 26.98 Al.upf
Ag 107.87 Ag.upf
CELL_PARAMETERS angstrom
-4.510 -0.608 0.152
0.623 -4.471 0.599
0.069 0.614 4.511
ATOMIC_POSITIONS crystal
Mo 0.000 0.500 0.000
Mo 0.000 0.000 0.500
Mo 0.500 0.000 0.000
Al 0.000 0.000 0.000
Ag 0.500 0.500 0.500
```